Compound: LiMgPt2
Source: the Alexandria database
Functional: PBE-GGA
Structure: optimized geometry

POSCAR file:
```
LiMgPt2
1.0
-4.409 -4.451 2.964
5.303 -3.144 3.167
0.181 -2.146 5.151
Pt Mg Li
4 2 2
Direct
0.602 0.125 0.250
0.148 0.625 0.250
0.875 0.852 0.750
0.375 0.398 0.750
0.000 0.000 0.000
0.750 0.250 0.500
0.250 0.750 0.500
0.500 0.500 0.000
```

***

Compound: LiMg4Pt3
Source: the Alexandria database
Functional: PBE-GGA
Structure: optimized geometry

POSCAR file:
```
LiMg4Pt3
1.0
4.263 0.000 -1.151
-0.306 4.257 -1.133
-0.308 -0.359 7.330
Mg Pt Li
4 3 1
Direct
0.873 0.873 0.745
0.127 0.127 0.255
0.373 0.373 0.745
0.627 0.627 0.255
0.747 0.247 0.494
0.253 0.753 0.506
0.000 0.500 0.000
0.500 0.000 0.000
```

***

Compound: Li14MgPt
Source: the Alexandria database
Functional: PBE-GGA
Structure: optimized geometry

POSCAR file:
```
Li14MgPt
1.0
6.037 -0.572 0.000
-2.892 5.329 0.000
0.000 0.000 9.563
Pt Li Mg
1 14 1
Direct
0.541 0.459 0.500
0.014 0.471 0.500
0.871 0.129 0.761
0.225 0.280 0.000
0.871 0.129 0.239
0.861 0.617 0.735
0.383 0.139 0.735
0.529 0.986 0.500
0.389 0.611 0.720
0.383 0.139 0.265
0.720 0.775 0.000
0.389 0.611 0.280
0.715 0.285 0.000
0.861 0.617 0.265
0.226 0.774 0.000
0.022 0.978 0.500
```

***

Sequential calculated formation energy output: -0.363; -0.739; -0.100 eV/atom